Version one
A plane-wave DFT calculation with PBE was carried out for a relaxed structure of Ag2Au2Br.

```
Ag2Au2Br
1.0
-2.0121 2.0121 6.7422
2.0121 -2.0121 6.7422
2.0121 2.0121 -6.7422
Ag Au Br
2 2 1
direct
0.2500 0.7500 0.5000
0.7500 0.2500 0.5000
0.1033 0.1033 0.0000
0.8967 0.8967 0.0000
0.5000 0.5000 0.0000
```

## Properties
* space-group type: I4/mmm
* Fermi-level density of states: 0.72 states/eV/atom
* magnetization: 0.000 μB per formula unit

=====

Version two
A plane-wave DFT calculation with PBE was carried out for a relaxed structure of Ag2Au2Br.

```
Ag2Au2Br
1.0
7.8206 0.0000 0.0000
0.0000 7.8206 0.0000
0.0000 0.0000 3.4196
Ag Au Br
4 4 2
direct
0.1649 0.3351 0.0000
0.3351 0.8351 0.0000
0.6649 0.1649 0.0000
0.8351 0.6649 0.0000
0.1283 0.6283 0.5000
0.3717 0.1283 0.5000
0.6283 0.8717 0.5000
0.8717 0.3717 0.5000
0.0000 0.0000 0.0000
0.5000 0.5000 0.0000
```

## Properties
* space-group type: P4/mbm
* Fermi-level density of states: 0.25 states/eV/atom
* magnetization: 0.000 μB per formula unit

=====

Version three
A plane-wave DFT calculation with PBE was carried out for a relaxed structure of Ag2Au2Br.

```
Ag2Au2Br
1.0
7.6781 0.0000 0.0000
0.0000 7.6781 0.0000
0.0000 0.0000 3.5028
Ag Au Br
4 4 2
direct
0.1621 0.3379 0.0000
0.3379 0.8379 0.0000
0.6621 0.1621 0.0000
0.8379 0.6621 0.0000
0.1311 0.6311 0.5000
0.3689 0.1311 0.5000
0.6311 0.8689 0.5000
0.8689 0.3689 0.5000
0.0000 0.0000 0.5000
0.5000 0.5000 0.5000
```

## Properties
* space-group type: P4/mbm
* Fermi-level density of states: 0.24 states/eV/atom
* magnetization: 0.000 μB per formula unit

=====

Energetically preferred structure: version three | next structure: +0.007 eV/atom

=====

Version one
A plane-wave DFT calculation with PBE was carried out for a relaxed structure of AgAu2Br2.

```
AgAu2Br2
1.0
7.8215 0.0000 0.0000
0.0000 7.8215 0.0000
0.0000 0.0000 4.0908
Ag Au Br
2 4 4
direct
0.0000 0.0000 0.0000
0.5000 0.5000 0.0000
0.1199 0.3801 0.5000
0.3801 0.8801 0.5000
0.6199 0.1199 0.5000
0.8801 0.6199 0.5000
0.2098 0.7098 0.0000
0.2902 0.2098 0.0000
0.7098 0.7902 0.0000
0.7902 0.2902 0.0000
```

## Properties
* space-group type: P4/mbm
* Fermi-level density of states: 0.35 states/eV/atom
* magnetization: 0.000 μB per formula unit

=====

Version two
A plane-wave DFT calculation with PBE was carried out for a relaxed structure of AgAu2Br2.

```
AgAu2Br2
1.0
-1.9130 1.9130 8.3097
1.9130 -1.9130 8.3097
1.9130 1.9130 -8.3097
Ag Au Br
1 2 2
direct
0.0000 0.0000 0.0000
0.2500 0.7500 0.5000
0.7500 0.2500 0.5000
0.4046 0.4046 0.0000
0.5954 0.5954 0.0000
```

## Properties
* space-group type: I4/mmm
* Fermi-level density of states: 0.35 states/eV/atom
* magnetization: 0.000 μB per formula unit

=====

Energetically preferred structure: version two | next structure: +0.082 eV/atom

=====

Version one
A plane-wave DFT calculation with PBE was carried out for a relaxed structure of Ag3AuBr6.

```
Ag3AuBr6
1.0
6.0618 3.4998 4.4094
-6.0618 3.4998 4.4094
0.0000 -6.9996 4.4094
Ag Au Br
6 2 12
direct
0.0926 0.5683 0.7637
0.2363 0.9074 0.4317
0.4317 0.2363 0.9074
0.5683 0.7637 0.0926
0.7637 0.0926 0.5683
0.9074 0.4317 0.2363
0.0000 0.0000 0.0000
0.5000 0.5000 0.5000
0.0586 0.8877 0.6958
0.1123 0.3042 0.9414
0.1948 0.5754 0.3919
0.3042 0.9414 0.1123
0.3919 0.1948 0.5754
0.4246 0.6081 0.8052
0.5754 0.3919 0.1948
0.6081 0.8052 0.4246
0.6958 0.0586 0.8877
0.8052 0.4246 0.6081
0.8877 0.6958 0.0586
0.9414 0.1123 0.3042
```

## Properties
* space-group type: R-3
* Fermi-level density of states: 0.56 states/eV/atom
* magnetization: 0.000 μB per formula unit

=====

Version two
A plane-wave DFT calculation with PBE was carried out for a relaxed structure of Ag3AuBr6.

```
Ag3AuBr6
1.0
7.2214 0.0000 0.0000
0.0000 8.1727 0.0000
-3.6857 0.0000 11.2791
Ag Au Br
6 2 12
direct
0.0000 0.0000 0.0000
0.0000 0.5000 0.5000
0.0797 0.1545 0.6438
0.0797 0.3455 0.1438
0.9203 0.6545 0.8562
0.9203 0.8455 0.3562
0.5000 0.0000 0.5000
0.5000 0.5000 0.0000
0.0920 0.0203 0.2257
0.0920 0.4797 0.7257
0.2565 0.6574 0.0669
0.2565 0.8426 0.5669
0.3755 0.2408 0.0613
0.3755 0.2592 0.5613
0.6245 0.7408 0.4387
0.6245 0.7592 0.9387
0.7435 0.1574 0.4331
0.7435 0.3426 0.9331
0.9080 0.5203 0.2743
0.9080 0.9797 0.7743
```

## Properties
* space-group type: P2_1/c
* magnetization: 0.000 μB per formula unit

=====

Energetically preferred structure: version two | next structure: +0.056 eV/atom

=====

Version one
A plane-wave DFT calculation with PBE was carried out for a relaxed structure of Na2AgAuBr6.

```
Na2AgAuBr6
1.0
0.0000 5.3747 5.3747
5.3747 0.0000 5.3747
5.3747 5.3747 0.0000
Na Ag Au Br
2 1 1 6
direct
0.2500 0.2500 0.2500
0.7500 0.7500 0.7500
0.0000 0.0000 0.0000
0.5000 0.5000 0.5000
0.2519 0.2519 0.7481
0.2519 0.7481 0.2519
0.2519 0.7481 0.7481
0.7481 0.2519 0.2519
0.7481 0.2519 0.7481
0.7481 0.7481 0.2519
```

## Properties
* space-group type: Fm-3m
* Fermi-level density of states: 0.37 states/eV/atom
* magnetization: 0.000 μB per formula unit

=====

Version two
A plane-wave DFT calculation with PBE was carried out for a relaxed structure of Na2AgAuBr6.

```
Na2AgAuBr6
1.0
7.0910 0.0000 0.0000
2.8239 6.8363 0.0000
3.5417 1.1583 6.5793
Na Ag Au Br
2 1 1 6
direct
0.0000 0.0000 0.0000
0.4387 0.5225 0.4781
0.1331 0.2119 0.4066
0.6495 0.7177 0.9015
0.3054 0.6039 0.1138
0.3537 0.1329 0.6237
0.5465 0.9155 0.1669
0.7610 0.5086 0.6469
0.8972 0.3169 0.2007
0.9896 0.8375 0.6869
```

## Properties
* space-group type: P1
* magnetization: 0.000 μB per formula unit

=====

Energetically preferred structure: version two | next structure: +0.126 eV/atom